Record 1
Density functional theory data (PBE-GGA) for a relaxed structure of UO2F.

Properties
Formation energy without anion corrections   -2.96 eV/atom
Size of the total moment   1.00 μB/f.u.

Unit cell a=3.860 b=3.860 c=3.860 alpha=60.00 beta=60.00 gamma=60.00
Sites, in units of the cell vectors:
U  0.000  0.000  0.000
O  0.250  0.250  0.250
O  0.750  0.750  0.750
F  0.500  0.500  0.500

Record 2
Density functional theory data (PBE-GGA) for a relaxed structure of AgP2F.

Properties
Formation energy without anion corrections   -0.25 eV/atom
Size of the total moment   0.00 μB/f.u.

Unit cell a=10.641 b=10.641 c=10.641 alpha=160.95 beta=160.95 gamma=27.07
Sites, in units of the cell vectors:
Ag  0.000  0.000  0.000
Ag  0.750  0.250  0.500
P  0.068  0.625  0.943
P  0.375  0.318  0.443
P  0.682  0.125  0.057
P  0.875  0.932  0.557
F  0.250  0.750  0.500
F  0.500  0.500  0.000

Record 3
Density functional theory data (PBE-GGA) for a relaxed structure of PrUS3.

Properties
Formation energy without anion corrections   -1.73 eV/atom
Size of the total moment   2.76 μB/f.u.

Unit cell a=7.433 b=3.991 c=15.491 alpha=90.00 beta=90.00 gamma=90.00
Sites, in units of the cell vectors:
Pr  0.120  0.250  0.204
Pr  0.380  0.750  0.704
Pr  0.620  0.250  0.296
Pr  0.880  0.750  0.796
U  0.236  0.750  0.460
U  0.264  0.250  0.960
U  0.736  0.750  0.040
U  0.764  0.250  0.540
S  0.010  0.250  0.399
S  0.126  0.750  0.065
S  0.163  0.250  0.784
S  0.337  0.750  0.284
S  0.374  0.250  0.565
S  0.490  0.750  0.899
S  0.510  0.250  0.101
S  0.626  0.750  0.435
S  0.663  0.250  0.716
S  0.837  0.750  0.216
S  0.874  0.250  0.935
S  0.990  0.750  0.601

Record 4
Density functional theory data (PBE-GGA) for a relaxed structure of SmScZn4.

Properties
Energy of formation from the pure elements   -0.319 eV/atom
Size of the total moment   0.00 μB/f.u.

Unit cell a=5.398 b=5.398 c=5.398 alpha=60.00 beta=60.00 gamma=60.00
Sites, in units of the cell vectors:
Sm  0.000  0.000  0.000
Sc  0.750  0.750  0.750
Zn  0.376  0.376  0.376
Zn  0.376  0.376  0.874
Zn  0.376  0.874  0.376
Zn  0.874  0.376  0.376

Record 5
Density functional theory data (PBE-GGA) for a relaxed structure of FeIrRu2Se.

Properties
Formation energy without anion corrections   1.51 eV/atom
Size of the total moment   4.15 μB/f.u.

Unit cell a=4.717 b=4.717 c=4.645 alpha=90.00 beta=90.00 gamma=90.00
Sites, in units of the cell vectors:
Fe  0.000  0.000  0.000
Ir  0.000  0.000  0.500
Ru  0.000  0.500  0.500
Ru  0.500  0.000  0.500
Se  0.500  0.500  0.000

Record 6
Density functional theory data (PBE-GGA) for a relaxed structure of H6RuPb2Au.

Properties
Size of the total moment   0.00 μB/f.u.

Unit cell a=5.542 b=5.542 c=5.542 alpha=122.82 beta=122.82 gamma=85.18
Sites, in units of the cell vectors:
H  0.213  0.213  0.000
H  0.238  0.238  0.476
H  0.238  0.762  0.000
H  0.762  0.238  0.000
H  0.762  0.762  0.524
H  0.787  0.787  0.000
Ru  0.000  0.000  0.000
Pb  0.250  0.750  0.500
Pb  0.750  0.250  0.500
Au  0.500  0.500  0.000

Record 7
Density functional theory data (PBE-GGA) for a relaxed structure of Pa2ZnPd.

Properties
Energy of formation from the pure elements   -0.224 eV/atom
Size of the total moment   0.00 μB/f.u.

Unit cell a=4.329 b=4.329 c=4.373 alpha=90.00 beta=90.00 gamma=90.00
Sites, in units of the cell vectors:
Pa  0.000  0.500  0.000
Pa  0.500  0.000  0.000
Zn  0.000  0.000  0.500
Pd  0.500  0.500  0.500

Record 8
Density functional theory data (PBE-GGA) for a relaxed structure of Tb2AlAu6.

Properties
Energy of formation from the pure elements   -0.657 eV/atom
Size of the total moment   0.00 μB/f.u.

Unit cell a=6.315 b=6.315 c=5.384 alpha=90.05 beta=90.05 gamma=59.93
Sites, in units of the cell vectors:
Tb  0.166  0.166  0.177
Tb  0.834  0.834  0.823
Al  0.500  0.500  0.000
Au  0.138  0.681  0.303
Au  0.319  0.319  0.698
Au  0.319  0.862  0.697
Au  0.681  0.138  0.303
Au  0.681  0.681  0.302
Au  0.862  0.319  0.697

Record 9
Density functional theory data (PBE-GGA) for a relaxed structure of TbSm12Al3.

Properties
Energy of formation from the pure elements   -0.115 eV/atom
Size of the total moment   0.00 μB/f.u.

Unit cell a=4.881 b=4.881 c=19.918 alpha=90.00 beta=90.00 gamma=90.00
Sites, in units of the cell vectors:
Tb  0.000  0.000  0.000
Sm  0.000  0.500  0.135
Sm  0.000  0.500  0.378
Sm  0.000  0.500  0.622
Sm  0.000  0.500  0.865
Sm  0.500  0.000  0.135
Sm  0.500  0.000  0.378
Sm  0.500  0.000  0.622
Sm  0.500  0.000  0.865
Sm  0.500  0.500  0.000
Sm  0.500  0.500  0.257
Sm  0.500  0.500  0.500
Sm  0.500  0.500  0.743
Al  0.000  0.000  0.258
Al  0.000  0.000  0.500
Al  0.000  0.000  0.742

Record 10
Density functional theory data (PBE-GGA) for a relaxed structure of LiCoW.

Properties
Energy of formation from the pure elements   0.373 eV/atom
Size of the total moment   0.00 μB/f.u.

Unit cell a=4.991 b=4.991 c=4.991 alpha=146.13 beta=146.13 gamma=48.66
Sites, in units of the cell vectors:
Li  0.000  0.000  0.000
Co  0.347  0.347  0.000
W  0.695  0.695  0.000

Record 11
Density functional theory data (PBE-GGA) for a relaxed structure of Cr2GaSiGe.

Properties
Formation energy without anion corrections   0.75 eV/atom
Size of the total moment   6.64 μB/f.u.

Unit cell a=4.606 b=4.606 c=4.631 alpha=90.00 beta=90.00 gamma=90.00
Sites, in units of the cell vectors:
Cr  0.000  0.500  0.000
Cr  0.500  0.000  0.000
Ga  0.000  0.000  0.500
Si  0.000  0.000  0.000
Ge  0.500  0.500  0.500

Record 12
Density functional theory data (PBE-GGA) for a relaxed structure of PaTc2B.

Properties
Energy of formation from the pure elements   -0.291 eV/atom
Size of the total moment   0.00 μB/f.u.

Unit cell a=5.410 b=5.410 c=7.351 alpha=90.00 beta=90.00 gamma=145.68
Sites, in units of the cell vectors:
Pa  0.054  0.946  0.750
Pa  0.946  0.054  0.250
Tc  0.347  0.653  0.551
Tc  0.347  0.653  0.949
Tc  0.653  0.347  0.051
Tc  0.653  0.347  0.449
B  0.224  0.776  0.250
B  0.776  0.224  0.750

Record 13
Density functional theory data (PBE-GGA) for a relaxed structure of ZrReIr2.

Properties
Energy of formation from the pure elements   -0.199 eV/atom
Size of the total moment   0.00 μB/f.u.

Unit cell a=4.903 b=4.903 c=4.943 alpha=99.15 beta=99.15 gamma=33.50
Sites, in units of the cell vectors:
Zr  0.000  0.000  0.000
Re  0.500  0.500  0.500
Ir  0.245  0.245  0.729
Ir  0.755  0.755  0.271

Record 14
Density functional theory data (PBE-GGA) for a relaxed structure of CoRe2Br.

Properties
Formation energy without anion corrections   1.11 eV/atom
Size of the total moment   0.00 μB/f.u.

Unit cell a=4.310 b=4.310 c=4.310 alpha=60.00 beta=60.00 gamma=60.00
Sites, in units of the cell vectors:
Co  0.000  0.000  0.000
Re  0.250  0.250  0.250
Re  0.750  0.750  0.750
Br  0.500  0.500  0.500

Record 15
Density functional theory data (PBE-GGA) for a relaxed structure of RbLi3Hg3.

Properties
Energy of formation from the pure elements   -0.098 eV/atom
Size of the total moment   0.00 μB/f.u.

Unit cell a=7.560 b=7.560 c=7.560 alpha=90.00 beta=90.00 gamma=90.00
Sites, in units of the cell vectors:
Rb  0.000  0.000  0.000
Rb  0.500  0.500  0.500
Li  0.000  0.250  0.500
Li  0.000  0.750  0.500
Li  0.250  0.500  0.000
Li  0.500  0.000  0.250
Li  0.500  0.000  0.750
Li  0.750  0.500  0.000
Hg  0.000  0.500  0.250
Hg  0.000  0.500  0.750
Hg  0.250  0.000  0.500
Hg  0.500  0.250  0.000
Hg  0.500  0.750  0.000
Hg  0.750  0.000  0.500

Record 16
Density functional theory data (PBE-GGA) for a relaxed structure of SrTlF6.

Properties
Formation energy without anion corrections   -2.30 eV/atom
Size of the total moment   1.01 μB/f.u.

Unit cell a=4.375 b=5.497 c=5.985 alpha=74.97 beta=83.55 gamma=76.15
Sites, in units of the cell vectors:
Sr  0.000  0.000  0.000
Tl  0.500  0.500  0.500
F  0.126  0.548  0.267
F  0.211  0.762  0.703
F  0.492  0.140  0.773
F  0.508  0.860  0.227
F  0.789  0.238  0.297
F  0.874  0.452  0.733

Record 17
Density functional theory data (PBE-GGA) for a relaxed structure of YTlCdCl6.

Properties
Formation energy without anion corrections   -1.62 eV/atom
Size of the total moment   0.00 μB/f.u.

Unit cell a=6.967 b=6.967 c=14.002 alpha=90.00 beta=90.00 gamma=120.00
Sites, in units of the cell vectors:
Y  0.333  0.667  0.250
Y  0.667  0.333  0.750
Tl  0.000  0.000  0.000
Tl  0.000  0.000  0.500
Cd  0.333  0.667  0.750
Cd  0.667  0.333  0.250
Cl  0.001  0.374  0.142
Cl  0.001  0.627  0.358
Cl  0.373  0.374  0.358
Cl  0.373  0.999  0.142
Cl  0.374  0.001  0.642
Cl  0.374  0.373  0.858
Cl  0.626  0.627  0.142
Cl  0.626  0.999  0.358
Cl  0.627  0.001  0.858
Cl  0.627  0.626  0.642
Cl  0.999  0.373  0.642
Cl  0.999  0.626  0.858

Record 18
Density functional theory data (PBE-GGA) for a relaxed structure of BaSrMg2.

Properties
Energy of formation from the pure elements   0.254 eV/atom
Size of the total moment   0.00 μB/f.u.

Unit cell a=7.759 b=7.759 c=7.759 alpha=103.62 beta=103.62 gamma=121.94
Sites, in units of the cell vectors:
Ba  0.000  0.000  0.000
Ba  0.750  0.250  0.500
Sr  0.250  0.750  0.500
Sr  0.500  0.500  0.000
Mg  0.134  0.625  0.009
Mg  0.375  0.384  0.509
Mg  0.616  0.125  0.991
Mg  0.875  0.866  0.491

Record 19
Density functional theory data (PBE-GGA) for a relaxed structure of PmNdRu4.

Properties
Energy of formation from the pure elements   -0.158 eV/atom
Size of the total moment   0.00 μB/f.u.

Unit cell a=5.414 b=5.414 c=5.414 alpha=60.00 beta=60.00 gamma=60.00
Sites, in units of the cell vectors:
Pm  0.000  0.000  0.000
Nd  0.750  0.750  0.750
Ru  0.375  0.375  0.375
Ru  0.375  0.375  0.875
Ru  0.375  0.875  0.375
Ru  0.875  0.375  0.375

Record 20
Density functional theory data (PBE-GGA) for a relaxed structure of LiBi4S5.

Properties
Formation energy without anion corrections   -0.31 eV/atom
Size of the total moment   0.00 μB/f.u.

Unit cell a=7.142 b=7.142 c=7.142 alpha=100.07 beta=100.07 gamma=130.57
Sites, in units of the cell vectors:
Li  0.000  0.000  0.000
Bi  0.255  0.452  0.605
Bi  0.452  0.847  0.197
Bi  0.650  0.255  0.803
Bi  0.847  0.650  0.395
S  0.150  0.748  0.795
S  0.355  0.150  0.402
S  0.570  0.570  0.000
S  0.748  0.953  0.598
S  0.953  0.355  0.205

Record 21
Density functional theory data (PBE-GGA) for a relaxed structure of K2Ca2Se.

Properties
Formation energy without anion corrections   -0.49 eV/atom
Size of the total moment   0.00 μB/f.u.

Unit cell a=7.876 b=7.876 c=7.570 alpha=90.00 beta=90.00 gamma=90.00
Sites, in units of the cell vectors:
K  0.175  0.325  0.000
K  0.325  0.825  0.000
K  0.675  0.175  0.000
K  0.825  0.675  0.000
Ca  0.179  0.679  0.500
Ca  0.321  0.179  0.500
Ca  0.679  0.821  0.500
Ca  0.821  0.321  0.500
Se  0.000  0.000  0.500
Se  0.500  0.500  0.500

Record 22
Density functional theory data (PBE-GGA) for a relaxed structure of Li2Pa2Se5.

Properties
Formation energy without anion corrections   -1.21 eV/atom
Size of the total moment   1.61 μB/f.u.

Unit cell a=10.902 b=10.902 c=10.902 alpha=52.73 beta=145.06 gamma=141.80
Sites, in units of the cell vectors:
Li  0.000  0.000  0.000
Li  0.000  0.500  0.500
Li  0.007  0.907  0.601
Li  0.306  0.407  0.399
Pa  0.500  0.724  0.076
Pa  0.500  0.924  0.277
Pa  0.647  0.224  0.723
Pa  0.647  0.424  0.924
Se  0.084  0.041  0.344
Se  0.084  0.239  0.542
Se  0.088  0.351  0.853
Se  0.088  0.735  0.237
Se  0.091  0.548  0.043
Se  0.498  0.235  0.147
Se  0.498  0.851  0.763
Se  0.505  0.048  0.957
Se  0.697  0.541  0.458
Se  0.697  0.739  0.656

Record 23
Density functional theory data (PBE-GGA) for a relaxed structure of CsCd2Hg6.

Properties
Energy of formation from the pure elements   -0.090 eV/atom
Size of the total moment   0.00 μB/f.u.

Unit cell a=5.530 b=5.530 c=9.012 alpha=90.00 beta=90.00 gamma=90.00
Sites, in units of the cell vectors:
Cs  0.000  0.000  0.000
Cd  0.500  0.500  0.160
Cd  0.500  0.500  0.840
Hg  0.000  0.000  0.500
Hg  0.000  0.500  0.304
Hg  0.000  0.500  0.696
Hg  0.500  0.000  0.304
Hg  0.500  0.000  0.696
Hg  0.500  0.500  0.500

Record 24
Density functional theory data (PBE-GGA) for a relaxed structure of Cu2ReP.

Properties
Energy of formation from the pure elements   0.130 eV/atom
Size of the total moment   0.00 μB/f.u.

Unit cell a=7.950 b=7.950 c=7.950 alpha=20.52 beta=20.52 gamma=20.52
Sites, in units of the cell vectors:
Cu  0.000  0.000  0.000
Cu  0.250  0.250  0.250
Re  0.758  0.758  0.758
P  0.501  0.501  0.501

| no. | E (eV per atom) | Fermi-level density of states (states/eV/cell) |
| --- | --- | --- |
| 1 | -8.73 | 5.12 |
| 2 | -4.13 | 3.86 |
| 3 | -7.42 | 22.88 |
| 4 | -3.01 | 2.90 |
| 5 | -6.36 | 8.26 |
| 6 | -3.82 | 1.97 |
| 7 | -6.59 | 5.94 |
| 8 | -4.29 | 4.07 |
| 9 | -4.65 | 22.33 |
| 10 | -6.95 | 2.56 |
| 11 | -5.72 | 4.15 |
| 12 | -9.52 | 8.15 |
| 13 | -9.88 | 3.57 |
| 14 | -7.31 | 1.53 |
| 15 | -1.19 | 9.41 |
| 16 | -4.21 | 4.58 |
| 17 | -3.94 | 0.00 |
| 18 | -1.44 | 8.40 |
| 19 | -7.93 | 7.37 |
| 20 | -4.12 | 5.14 |
| 21 | -2.43 | 7.73 |
| 22 | -5.68 | 10.87 |
| 23 | -0.59 | 4.46 |
| 24 | -6.38 | 0.98 |